No. 1
VASP calculation (PBE-GGA) on a relaxed GaIrAu2 crystal. Values from VASP.

Cell and atoms, written as Quantum ESPRESSO input:
```
&SYSTEM
  ibrav = 0, nat = 4, ntyp = 3
/
ATOMIC_SPECIES
Ga 69.72 Ga.upf
Ir 192.22 Ir.upf
Au 196.97 Au.upf
ATOMIC_POSITIONS crystal
Ga 0.000 0.000 0.000
Ir 0.250 0.250 0.250
Au 0.500 0.500 0.500
Au 0.750 0.750 0.750
CELL_PARAMETERS angstrom
0.000 3.205 3.205
3.205 0.000 3.205
3.205 3.205 0.000
```

## Properties
DFT total energy = -4.50 eV per atom



No. 2
VASP calculation (PBE-GGA) on a relaxed SmYPO crystal. Values from VASP.

Cell and atoms, written as Quantum ESPRESSO input:
```
&SYSTEM
  ibrav = 0, nat = 8, ntyp = 4
/
ATOMIC_SPECIES
Sm 150.36 Sm.upf
Y 88.91 Y.upf
P 30.97 P.upf
O 16.00 O.upf
ATOMIC_POSITIONS crystal
Sm 0.000 0.200 0.000
Sm 0.000 0.800 0.500
Y 0.500 0.380 0.563
Y 0.500 0.620 0.063
P 0.000 0.169 0.495
P 0.000 0.831 0.995
O 0.500 0.333 0.943
O 0.500 0.667 0.443
CELL_PARAMETERS angstrom
4.233 0.000 0.000
0.000 7.516 0.000
0.000 0.000 5.834
```

## Properties
DFT total energy = -7.39 eV per atom



No. 3
VASP calculation (PBE-GGA) on a relaxed SrMgAl4Cu2 crystal. Values from VASP.

Cell and atoms, written as Quantum ESPRESSO input:
```
&SYSTEM
  ibrav = 0, nat = 8, ntyp = 4
/
ATOMIC_SPECIES
Sr 87.62 Sr.upf
Mg 24.30 Mg.upf
Al 26.98 Al.upf
Cu 63.55 Cu.upf
ATOMIC_POSITIONS crystal
Sr 0.000 0.000 0.000
Mg 0.000 0.343 0.343
Al 0.312 0.562 0.562
Al 0.322 0.158 0.158
Al 0.678 0.158 0.158
Al 0.688 0.562 0.562
Cu 0.000 0.193 0.193
Cu 0.000 0.647 0.647
CELL_PARAMETERS angstrom
7.021 0.000 0.000
0.000 2.275 8.122
0.000 -2.275 8.122
```

## Properties
DFT total energy = -2.76 eV per atom



No. 4
VASP calculation (PBE-GGA) on a relaxed Dy2ErHg crystal. Values from VASP.

Cell and atoms, written as Quantum ESPRESSO input:
```
&SYSTEM
  ibrav = 0, nat = 8, ntyp = 3
/
ATOMIC_SPECIES
Dy 162.50 Dy.upf
Er 167.26 Er.upf
Hg 200.59 Hg.upf
ATOMIC_POSITIONS crystal
Dy 0.155 0.327 0.250
Dy 0.327 0.155 0.750
Dy 0.673 0.845 0.250
Dy 0.845 0.673 0.750
Er 0.328 0.672 0.750
Er 0.672 0.328 0.250
Hg 0.167 0.833 0.250
Hg 0.833 0.167 0.750
CELL_PARAMETERS angstrom
3.419 -5.924 0.000
3.419 5.924 0.000
0.000 0.000 5.383
```

## Properties
DFT total energy = -3.68 eV per atom
Formation energy from the elements = -3.803 kcal/mol of atoms



No. 5
VASP calculation (PBE-GGA) on a relaxed YCoAsOs crystal. Values from VASP.

Cell and atoms, written as Quantum ESPRESSO input:
```
&SYSTEM
  ibrav = 0, nat = 4, ntyp = 4
/
ATOMIC_SPECIES
Y 88.91 Y.upf
Co 58.93 Co.upf
As 74.92 As.upf
Os 190.23 Os.upf
ATOMIC_POSITIONS crystal
Y 0.000 0.000 0.000
Co 0.500 0.500 0.500
As 0.250 0.250 0.250
Os 0.750 0.750 0.750
CELL_PARAMETERS angstrom
0.000 3.224 3.224
3.224 0.000 3.224
3.224 3.224 0.000
```

## Properties
DFT total energy = -7.01 eV per atom



No. 6
VASP calculation (PBE-GGA) on a relaxed PaGa2Sn crystal. Values from VASP.

Cell and atoms, written as Quantum ESPRESSO input:
```
&SYSTEM
  ibrav = 0, nat = 4, ntyp = 3
/
ATOMIC_SPECIES
Pa 231.04 Pa.upf
Ga 69.72 Ga.upf
Sn 118.71 Sn.upf
ATOMIC_POSITIONS crystal
Pa 0.000 0.000 0.000
Ga 0.000 0.500 0.500
Ga 0.500 0.000 0.500
Sn 0.500 0.500 0.000
CELL_PARAMETERS angstrom
4.475 0.000 0.000
0.000 4.475 0.000
0.000 0.000 4.295
```

## Properties
DFT total energy = -5.25 eV per atom



No. 7
VASP calculation (PBE-GGA) on a relaxed InB4Pt crystal. Values from VASP.

Cell and atoms, written as Quantum ESPRESSO input:
```
&SYSTEM
  ibrav = 0, nat = 6, ntyp = 3
/
ATOMIC_SPECIES
In 114.82 In.upf
B 10.81 B.upf
Pt 195.08 Pt.upf
ATOMIC_POSITIONS crystal
In 0.000 0.000 0.000
B 0.078 0.748 0.331
B 0.417 0.748 0.669
B 0.583 0.252 0.331
B 0.922 0.252 0.669
Pt 0.500 0.500 0.000
CELL_PARAMETERS angstrom
-1.539 2.656 3.877
1.539 -2.656 3.877
1.539 2.656 -3.877
```

## Properties
DFT total energy = -5.42 eV per atom



No. 8
VASP calculation (PBE-GGA) on a relaxed NdGd2Al3Ni3 crystal. Values from VASP.

Cell and atoms, written as Quantum ESPRESSO input:
```
&SYSTEM
  ibrav = 0, nat = 9, ntyp = 4
/
ATOMIC_SPECIES
Nd 144.24 Nd.upf
Gd 157.25 Gd.upf
Al 26.98 Al.upf
Ni 58.69 Ni.upf
ATOMIC_POSITIONS crystal
Nd 0.000 0.000 0.000
Gd 0.000 0.163 0.581
Gd 0.000 0.581 0.163
Al 0.500 0.352 0.352
Al 0.500 0.577 0.811
Al 0.500 0.811 0.577
Ni 0.000 0.578 0.578
Ni 0.500 0.252 0.912
Ni 0.500 0.912 0.252
CELL_PARAMETERS angstrom
3.986 0.000 0.000
0.000 6.070 3.531
0.000 -6.070 3.531
```

## Properties
DFT total energy = -5.23 eV per atom



No. 9
VASP calculation (PBE-GGA) on a relaxed LaMg2GePt crystal. Values from VASP.

Cell and atoms, written as Quantum ESPRESSO input:
```
&SYSTEM
  ibrav = 0, nat = 5, ntyp = 4
/
ATOMIC_SPECIES
La 138.91 La.upf
Mg 24.30 Mg.upf
Ge 72.64 Ge.upf
Pt 195.08 Pt.upf
ATOMIC_POSITIONS crystal
La 0.000 0.000 0.000
Mg 0.253 0.753 0.500
Mg 0.753 0.253 0.500
Ge 0.403 0.403 0.000
Pt 0.616 0.616 0.000
CELL_PARAMETERS angstrom
-2.150 2.150 5.969
2.150 -2.150 5.969
2.150 2.150 -5.969
```

## Properties
DFT total energy = -4.52 eV per atom



No. 10
VASP calculation (PBE-GGA) on a relaxed Sm2Be crystal. Values from VASP.

Cell and atoms, written as Quantum ESPRESSO input:
```
&SYSTEM
  ibrav = 0, nat = 3, ntyp = 2
/
ATOMIC_SPECIES
Sm 150.36 Sm.upf
Be 9.01 Be.upf
ATOMIC_POSITIONS crystal
Sm 0.250 0.250 0.250
Sm 0.750 0.750 0.750
Be 0.000 0.000 0.000
CELL_PARAMETERS angstrom
0.000 3.442 3.442
3.442 0.000 3.442
3.442 3.442 0.000
```

## Properties
DFT total energy = -4.08 eV per atom



No. 11
VASP calculation (PBE-GGA) on a relaxed LuSnGe2 crystal. Values from VASP.

Cell and atoms, written as Quantum ESPRESSO input:
```
&SYSTEM
  ibrav = 0, nat = 4, ntyp = 3
/
ATOMIC_SPECIES
Lu 174.97 Lu.upf
Sn 118.71 Sn.upf
Ge 72.64 Ge.upf
ATOMIC_POSITIONS crystal
Lu 0.000 0.000 0.000
Sn 0.750 0.750 0.750
Ge 0.250 0.250 0.250
Ge 0.500 0.500 0.500
CELL_PARAMETERS angstrom
0.000 3.593 3.593
3.593 0.000 3.593
3.593 3.593 0.000
```

## Properties
DFT total energy = -4.48 eV per atom



No. 12
VASP calculation (PBE-GGA) on a relaxed DyAgB4 crystal. Values from VASP.

Cell and atoms, written as Quantum ESPRESSO input:
```
&SYSTEM
  ibrav = 0, nat = 6, ntyp = 3
/
ATOMIC_SPECIES
Dy 162.50 Dy.upf
Ag 107.87 Ag.upf
B 10.81 B.upf
ATOMIC_POSITIONS crystal
Dy 0.000 0.000 0.000
Ag 0.500 0.500 0.000
B 0.059 0.739 0.320
B 0.419 0.739 0.680
B 0.581 0.261 0.320
B 0.941 0.261 0.680
CELL_PARAMETERS angstrom
-1.581 2.706 3.954
1.581 -2.706 3.954
1.581 2.706 -3.954
```

## Properties
DFT total energy = -5.76 eV per atom